{"formula": "LiIn2Co", "functional": "PBE", "state": "relaxed", "mass_density_g_cm3": 6.8, "dft_energy_ha_per_atom": -0.129, "delta_e_f_ev_per_atom": 0.121, "crystal_system": "monoclinic", "cell": [[8.6353, 0.0000, 0.0000], [0.0000, 3.1146, 0.0000], [-1.0414, 0.0000, 5.3914]], "species": ["Li", "Li", "In", "In", "In", "In", "Co", "Co"], "fractional_positions": [[0.0000, 0.0000, 0.0000], [0.5000, 0.5000, 0.0000], [0.2371, 0.0000, 0.7314], [0.2629, 0.5000, 0.2686], [0.7371, 0.5000, 0.7314], [0.7629, 0.0000, 0.2686], [0.0000, 0.5000, 0.5000], [0.5000, 0.0000, 0.5000]]}